The following is a GGA-PBE calculation of crystalline SmScS3 at its relaxed geometry, from Alexandria.

- formation energy (no corrections) (meV/atom) = -1966
- M_tot (μB per cell) = 0.000

Unit cell a=3.7924 b=7.9753 c=14.0234 alpha=90.00 beta=90.00 gamma=90.00
Last column: nearest neighbours and their distance in Å.
Fractional positions:
S1 0.7500 0.6605 0.4518  2 Sc 2.58, 2 Sm 2.84
S2 0.2500 0.6552 0.7036  1 Sc 2.60, 2 Sm 2.87
S3 0.2500 0.1552 0.7964  1 Sc 2.60, 2 Sm 2.87
S4 0.7500 0.9955 0.6106  3 Sc 2.58-2.62, 1 Sm 2.88
S5 0.7500 0.1605 0.0482  2 Sc 2.58, 2 Sm 2.84
S6 0.7500 0.4955 0.8894  3 Sc 2.58-2.62, 1 Sm 2.88
S7 0.2500 0.8395 0.9518  2 Sc 2.58, 2 Sm 2.84
S8 0.7500 0.8448 0.2036  1 Sc 2.60, 2 Sm 2.87
S9 0.2500 0.3395 0.5482  2 Sc 2.58, 2 Sm 2.84
S10 0.2500 0.0045 0.3894  3 Sc 2.58-2.62, 1 Sm 2.88
S11 0.7500 0.3448 0.2964  1 Sc 2.60, 2 Sm 2.87
S12 0.2500 0.5045 0.1106  3 Sc 2.58-2.62, 1 Sm 2.88
Sm1 0.2500 0.6364 0.3021  7 S 2.84-3.00
Sm2 0.2500 0.1364 0.1979  7 S 2.84-3.00
Sm3 0.7500 0.3636 0.6979  7 S 2.84-3.00
Sm4 0.7500 0.8636 0.8021  7 S 2.84-3.00
Sc1 0.2500 0.8132 0.5413  6 S 2.58-2.62
Sc2 0.2500 0.3132 0.9587  6 S 2.58-2.62
Sc3 0.7500 0.1868 0.4587  6 S 2.58-2.62
Sc4 0.7500 0.6868 0.0413  6 S 2.58-2.62